# PBE LaHgAu3, optimized geometry
# **Offset from the most stable computed form**: 0.746 eV per atom
# **E**: -2.809 eV/atom
# **Calculated formation energy**: 0.204 eV per atom
# **D(E_F)**: 0.00 states/eV/cell
data_LaHgAu3
_cell_length_a 5.799
_cell_length_b 5.799
_cell_length_c 5.799
_cell_angle_alpha 90.00
_cell_angle_beta 90.00
_cell_angle_gamma 90.00
_space_group_name_H-M_alt 'P m -3 m'
_space_group_IT_number 221
_space_group_name_Hall '-P 4 2 3'
loop_
_atom_site_label
_atom_site_fract_x
_atom_site_fract_y
_atom_site_fract_z
_atom_site_occupancy
La1 0.000 0.000 0.000 1
Hg1 0.500 0.500 0.500 1
Au1 0.000 0.000 0.500 1

---

# PBE Pa2CrSn, optimized geometry
# **Offset from the most stable computed form**: 0.170 eV per atom
# **E**: -7.962 eV/atom
# **Calculated formation energy**: 0.193 eV per atom
# **D(E_F)**: 8.29 states/eV/cell
data_Pa2CrSn
_cell_length_a 3.816
_cell_length_b 3.816
_cell_length_c 6.303
_cell_angle_alpha 90.00
_cell_angle_beta 90.00
_cell_angle_gamma 90.00
_space_group_name_H-M_alt 'P 4/m m m'
_space_group_IT_number 123
_space_group_name_Hall '-P 4 2'
loop_
_atom_site_label
_atom_site_fract_x
_atom_site_fract_y
_atom_site_fract_z
_atom_site_occupancy
Pa1 0.000 0.000 0.215 1
Cr1 0.500 0.500 0.000 1
Sn1 0.500 0.500 0.500 1

---

Question: Which formula does entry 2 have?
Answer: Pa2CrSn

---

Question: Number 2 is which compound?
Answer: Pa2CrSn

---

Question: Which value of offset from the most stable computed form does entry 2 give?
Answer: 0.170 eV per atom

---

Question: offset from the most stable computed form of number 1 (LaHgAu3)?
Answer: 0.746 eV per atom